# K2SiMo (PBEsol, relaxed)
# **Crystal system**: orthorhombic
# **Calculated total energy**: -3.8623 eV per atom
data_K2SiMo
_cell_length_a 3.791
_cell_length_b 3.916
_cell_length_c 11.585
_cell_angle_alpha 90.00
_cell_angle_beta 90.00
_cell_angle_gamma 90.00
_symmetry_space_group_name_H-M 'C m m m'
_symmetry_Int_Tables_number 65
_symmetry_space_group_name_Hall '-C 2 2'
loop_
_atom_site_label
_atom_site_type_symbol
_atom_site_fract_x
_atom_site_fract_y
_atom_site_fract_z
_atom_site_occupancy
K1 K 0.000 0.000 0.236 1
Si1 Si 0.000 0.500 0.000 1
Mo1 Mo 0.000 0.500 0.500 1